No. 1
ZrGaIr2 (GGA-PBE, relaxed); total energy = -7.58 eV/atom; space group = No. 216
1.0
0.000 3.206 3.206
3.206 0.000 3.206
3.206 3.206 0.000
Zr Ga Ir
1 1 2
direct
0.000 0.000 0.000 Zr
0.750 0.750 0.750 Ga
0.250 0.250 0.250 Ir
0.500 0.500 0.500 Ir



No. 2
Zr6Ga16Ir7 (GGA-PBE, relaxed); total energy = -6.18 eV/atom; space group = No. 225
1.0
0.000 6.209 6.209
6.209 0.000 6.209
6.209 6.209 0.000
Zr Ga Ir
6 16 7
direct
0.194 0.194 0.806 Zr
0.194 0.806 0.194 Zr
0.194 0.806 0.806 Zr
0.806 0.194 0.194 Zr
0.806 0.194 0.806 Zr
0.806 0.806 0.194 Zr
0.134 0.622 0.622 Ga
0.156 0.156 0.156 Ga
0.156 0.156 0.533 Ga
0.156 0.533 0.156 Ga
0.378 0.378 0.378 Ga
0.378 0.378 0.866 Ga
0.378 0.866 0.378 Ga
0.467 0.844 0.844 Ga
0.533 0.156 0.156 Ga
0.622 0.134 0.622 Ga
0.622 0.622 0.134 Ga
0.622 0.622 0.622 Ga
0.844 0.467 0.844 Ga
0.844 0.844 0.467 Ga
0.844 0.844 0.844 Ga
0.866 0.378 0.378 Ga
0.000 0.000 0.500 Ir
0.000 0.500 0.000 Ir
0.000 0.500 0.500 Ir
0.500 0.000 0.000 Ir
0.500 0.000 0.500 Ir
0.500 0.500 0.000 Ir
0.500 0.500 0.500 Ir



No. 3
ZrGa2Ir (GGA-PBE, relaxed); total energy = -6.32 eV/atom; space group = No. 216
1.0
0.000 3.229 3.229
3.229 0.000 3.229
3.229 3.229 0.000
Zr Ga Ir
1 2 1
direct
0.000 0.000 0.000 Zr
0.250 0.250 0.250 Ga
0.500 0.500 0.500 Ga
0.750 0.750 0.750 Ir



No. 4
ZrGa2Ir (GGA-PBE, relaxed); total energy = -6.55 eV/atom; space group = No. 11
1.0
4.265 0.000 0.000
0.000 6.473 0.000
-2.107 0.000 4.896
Zr Ga Ir
2 4 2
direct
0.087 0.250 0.170 Zr
0.913 0.750 0.830 Zr
0.370 0.048 0.741 Ga
0.370 0.452 0.741 Ga
0.630 0.548 0.259 Ga
0.630 0.952 0.259 Ga
0.199 0.750 0.400 Ir
0.801 0.250 0.600 Ir



No. 5
ZrGa2Ir (GGA-PBE, relaxed); total energy = -6.32 eV/atom; space group = No. 216
1.0
0.000 3.229 3.229
3.229 0.000 3.229
3.229 3.229 0.000
Zr Ga Ir
1 2 1
direct
0.000 0.000 0.000 Zr
0.500 0.500 0.500 Ga
0.750 0.750 0.750 Ga
0.250 0.250 0.250 Ir



No. 6
ZrGa2Ir (GGA-PBE, relaxed); total energy = -6.26 eV/atom; space group = No. 139
1.0
-2.177 2.177 3.459
2.177 -2.177 3.459
2.177 2.177 -3.459
Zr Ga Ir
1 2 1
direct
0.000 0.000 0.000 Zr
0.250 0.750 0.500 Ga
0.750 0.250 0.500 Ga
0.500 0.500 0.000 Ir